A plane-wave DFT calculation with PBE-GGA was carried out for NaPaSeO5 after structural relaxation.

## Properties
The calculation puts the total energy at -7.015 eV/atom. The space-group type is C2/c. The total magnetization comes out at 0.00 μB/cell.

abc: 6.0195 6.0195 8.5030
angles: 108.85 108.85 93.24
With the nearest neighbours (Å) after each atom.
Sites, in units of the cell vectors:
Na (0.0654, 0.9346, 0.7500)  5 O 2.42-2.57
Na (0.9346, 0.0654, 0.2500)  5 O 2.42-2.57
Pa (0.0000, 0.5000, 0.0000)  4 O 2.08-2.17
Pa (0.5000, 0.0000, 0.5000)  4 O 2.08-2.17
Se (0.4325, 0.5675, 0.7500)  2 O 1.72
Se (0.5675, 0.4325, 0.2500)  2 O 1.72
O (0.2260, 0.2573, 0.0371)  1 Pa 2.08, 1 Se 2.18
O (0.2280, 0.7720, 0.2500)  2 Pa 2.17
O (0.2287, 0.6252, 0.8537)  1 Se 1.72
O (0.2573, 0.2260, 0.5371)  1 Pa 2.08, 1 Se 2.18
O (0.3748, 0.7713, 0.6463)  1 Se 1.72
O (0.6252, 0.2287, 0.3537)  1 Se 1.72
O (0.7427, 0.7740, 0.4629)  1 Pa 2.08, 1 Se 2.18
O (0.7713, 0.3748, 0.1463)  1 Se 1.72
O (0.7720, 0.2280, 0.7500)  2 Pa 2.17
O (0.7740, 0.7427, 0.9629)  1 Pa 2.08, 1 Se 2.18